CuPH4 PBE relaxed; calculated total energy = -3.50 eV/atom
1.0
3.947 0.000 0.000
1.253 3.786 0.000
1.211 0.877 4.027
Cu P H
1 1 4
Cartesian
0.000 0.000 0.000 Cu
3.812 2.770 4.023 P
1.327 0.962 0.370 H
3.005 2.183 1.560 H
3.410 2.479 2.458 H
5.087 3.699 3.649 H

HgMoBr PBE relaxed; formation energy from raw total energies = 1.217 eV/atom; distance to the lowest polymorph of the same formula = 876.4 meV/atom
1.0
7.140 0.000 0.000
0.000 7.140 0.000
0.000 0.000 7.140
Hg Mo Br
4 4 4
Cartesian
0.000 0.000 0.000 Hg
0.000 3.570 3.570 Hg
3.570 0.000 3.570 Hg
3.570 3.570 0.000 Hg
1.785 1.785 1.785 Mo
1.785 5.355 5.355 Mo
5.355 1.785 5.355 Mo
5.355 5.355 1.785 Mo
1.785 1.785 5.355 Br
1.785 5.355 1.785 Br
5.355 1.785 1.785 Br
5.355 5.355 5.355 Br

Au2SeCl PBE relaxed; formation energy from raw total energies = 0.138 eV/atom; distance to the lowest polymorph of the same formula = 160.7 meV/atom
1.0
7.492 0.000 0.000
0.000 7.488 0.000
-0.030 0.000 3.138
Au Se Cl
4 2 2
Cartesian
1.873 1.872 0.000 Au
1.873 5.616 0.000 Au
5.619 1.872 0.000 Au
5.619 5.616 0.000 Au
0.000 0.000 0.000 Se
3.746 3.744 0.000 Se
0.000 3.744 0.000 Cl
3.746 0.000 0.000 Cl

MgCu2TeO12 PBE relaxed; formation energy from raw total energies = -0.413 eV/atom
1.0
5.274 0.000 0.000
-2.637 4.567 0.000
0.000 0.000 8.724
Mg Cu Te O
1 2 1 12
Cartesian
0.000 0.000 0.000 Mg
0.000 3.045 4.362 Cu
2.637 1.522 4.362 Cu
0.000 0.000 4.362 Te
-0.842 1.458 3.338 O
-1.121 1.941 0.507 O
-1.516 2.626 8.217 O
-1.795 3.110 5.386 O
1.683 0.000 3.338 O
0.842 1.458 5.386 O
2.241 0.000 0.507 O
1.121 1.941 8.217 O
3.033 0.000 8.217 O
1.516 2.626 0.507 O
3.591 0.000 5.386 O
1.795 3.110 3.338 O

ScHg2Cl PBE relaxed; formation energy from raw total energies = -0.432 eV/atom; distance to the lowest polymorph of the same formula = 271.7 meV/atom
1.0
5.640 0.000 0.000
0.000 9.703 0.000
0.000 0.000 3.448
Sc Hg Cl
2 4 2
Cartesian
0.000 0.000 0.000 Sc
2.820 4.851 0.000 Sc
1.410 2.426 1.724 Hg
1.410 7.277 1.724 Hg
4.230 2.426 1.724 Hg
4.230 7.277 1.724 Hg
0.000 4.851 0.000 Cl
2.820 0.000 0.000 Cl

Sc2HgCl PBE relaxed; formation energy from raw total energies = -0.733 eV/atom; distance to the lowest polymorph of the same formula = 59.6 meV/atom
1.0
3.379 0.000 0.000
-1.689 2.926 0.000
0.000 0.000 25.472
Sc Hg Cl
6 3 3
Cartesian
0.000 0.000 0.000 Sc
0.000 0.000 3.906 Sc
0.000 1.951 16.982 Sc
0.000 1.951 20.888 Sc
1.689 0.975 8.491 Sc
1.689 0.975 12.397 Sc
0.000 0.000 14.697 Hg
0.000 1.951 6.206 Hg
1.689 0.975 23.187 Hg
0.000 0.000 10.421 Cl
0.000 1.951 1.931 Cl
1.689 0.975 18.912 Cl